## ReTcTe2Cl (PBE)

Data for an optimized crystal structure of ReTcTe2Cl.

ΔE_f (raw)   1.206 eV per atom
Theoretical density   7.33 g/cm³
Fermi-level density of states   3.343 states/eV/cell
Uncorrected energy   -0.3663 Ry/atom
Symmetry   No. 123

abc: 5.3392 4.5680 5.3392
angles: 90.00 90.00 90.00
Last column: nearest neighbours and their distance in Å.
Fractional positions:
Re1 0.5000 0.5000 0.5000  8 Te 3.51, 4 Cl 3.78
Te1 0.0000 0.0000 0.5000  2 Tc 2.67
Te2 0.5000 0.0000 0.0000  2 Tc 2.67
Tc1 0.0000 0.0000 0.0000  2 Cl 2.28
Cl1 0.0000 0.5000 0.0000  2 Tc 2.28